This record from Alexandria describes Zn2InCo2 after structural relaxation. The functional is PBE-GGA.

Cell lengths 3.474, 3.474, 13.433 Å; angles 90.00, 90.00, 90.00 degrees
Space group I4/mmm (No. 139)
One atom of each set of equivalent atoms:
Zn 0.000 0.000 0.114 (multiplicity 4)
In 0.000 0.000 0.500 (multiplicity 2)
Co 0.000 0.500 0.250 (multiplicity 4)

## Properties
Crystal system   tetragonal
ΔE_f   30 kJ/mol of atoms
M_tot   3.12 μB per formula unit


This record from Alexandria describes ZnInCo3 after structural relaxation. The functional is PBE-GGA.

Cell lengths 4.688, 4.688, 4.688 Å; angles 90.00, 90.00, 90.00 degrees
Space group Pm-3m (No. 221)
One atom of each set of equivalent atoms:
Zn 0.000 0.000 0.000 (multiplicity 1)
In 0.500 0.500 0.500 (multiplicity 1)
Co 0.000 0.500 0.500 (multiplicity 3)

## Properties
Crystal system   cubic
ΔE_f   150 kJ/mol of atoms
M_tot   4.48 μB per formula unit